VASP calculation (PBE with a Hubbard U) on a relaxed structure of SrCaHfVO6.

magnetic moment	0.10	μB/atom
energy	-79.30	eV for the cell shown

Unit cell a=5.6494 b=5.6494 c=5.6494 alpha=60.00 beta=60.00 gamma=60.00
Last column: magnetic moment on the atom in μB.
Atoms (fractional coordinates):
Sr: 0.7500 0.7500 0.7500  0.00
Ca: 0.2500 0.2500 0.2500  0.00
Hf: 0.0000 0.0000 0.0000  0.04
V: 0.5000 0.5000 0.5000  1.08
O: 0.2571 0.7429 0.2571  -0.04
O: 0.7429 0.2571 0.7429  -0.04
O: 0.2571 0.7429 0.7429  -0.04
O: 0.7429 0.2571 0.2571  -0.04
O: 0.2571 0.2571 0.7429  -0.04
O: 0.7429 0.7429 0.2571  -0.04


VASP calculation (PBE with a Hubbard U) on a relaxed structure of SrCaHfWO6.

magnetic moment	0.20	μB/atom
energy	-78.34	eV for the cell shown

Unit cell a=5.7955 b=5.7955 c=5.7955 alpha=60.00 beta=60.00 gamma=60.00
Last column: magnetic moment on the atom in μB.
Atoms (fractional coordinates):
Sr: 0.2500 0.2500 0.2500  0.01
Ca: 0.7500 0.7500 0.7500  0.01
Hf: 0.0000 0.0000 0.0000  0.09
W: 0.5000 0.5000 0.5000  1.79
O: 0.2506 0.7494 0.2506  -0.02
O: 0.7494 0.2506 0.7494  -0.02
O: 0.2506 0.7494 0.7494  -0.02
O: 0.7494 0.2506 0.2506  -0.02
O: 0.2506 0.2506 0.7494  -0.02
O: 0.7494 0.7494 0.2506  -0.02


- Among the records above, which one has the highest magnetic moment?
  SrCaHfWO6


- What is the energy in the second record?
  -78.34 eV for the cell shown


- Which of these has the highest magnetic moment?
  SrCaHfWO6